Record 1
Here is crystalline Br3Cl at its relaxed geometry from the Alexandria database. Energies are from PBE.

Results
* formation energy (no corrections): 0.28 eV per atom
* symmetry: Cmmm, No. 65
* electronic total energy: -5.8 eV for the cell shown

Cell: 2.826 2.826 16.809 Å, 90.00 90.00 90.43°
Fractional positions:
Br 0.000 0.000 0.000
Br 0.500 0.500 0.262
Br 0.500 0.500 0.738
Cl 0.000 0.000 0.500

***

Record 2
Here is crystalline Mo2PbI at its relaxed geometry from the Alexandria database. Energies are from PBE.

Results
* distance to the lowest polymorph of the same formula: 0.000 eV/atom
* formation energy (no corrections): 1.03 eV per atom
* symmetry: Fm-3m, No. 225
* electronic total energy: -22.8 eV for the cell shown

Cell: 4.797 4.797 4.797 Å, 60.00 60.00 60.00°
Fractional positions:
Mo 0.250 0.250 0.250
Mo 0.750 0.750 0.750
Pb 0.000 0.000 0.000
I 0.500 0.500 0.500

***

Record 3
Here is crystalline TbDyCd3 at its relaxed geometry from the Alexandria database. Energies are from PBE.

Results
* formation energy from the elements: -6.16 kcal/mol of atoms
* distance to the lowest polymorph of the same formula: 0.025 eV/atom
* symmetry: P2_1/m, No. 11
* electronic total energy: -26.6 eV for the cell shown

Cell: 5.328 5.358 9.287 Å, 90.00 106.65 90.00°
Fractional positions:
Tb 0.151 0.250 0.297
Tb 0.849 0.750 0.703
Dy 0.355 0.250 0.704
Dy 0.645 0.750 0.296
Cd 0.039 0.750 0.088
Cd 0.246 0.750 0.500
Cd 0.450 0.750 0.912
Cd 0.550 0.250 0.088
Cd 0.754 0.250 0.500
Cd 0.961 0.250 0.912